A plane-wave DFT calculation with PBE-GGA was carried out for LiZnInAg2 after structural relaxation.

For the uncorrected energy, the calculation gives -24.6 eV for the cell shown. For the formation enthalpy at 0 K, the calculation gives -133 meV/atom. The calculated volume is 17.7 Å³/atom.

a b c (Å): 6.3243 4.2522 6.6050
angles (deg): 90.00 92.13 90.00
Space group P2_1/m (No. 11)
Inequivalent atoms, fractional coordinates:
Li: 0.2335 0.2500 0.2389 x2
Zn: 0.0416 0.2500 0.8486 x2
In: 0.4423 0.2500 0.6660 x2
Ag: 0.1474 0.7500 0.5342 x2
Ag: 0.3254 0.7500 0.9570 x2